This record from Alexandria via LeMat-Bulk describes a relaxed structure of NdTm2Tl4. The functional is GGA-PBE.

Cell: 6.510 6.510 6.510 Å, 107.93 107.93 112.60°
Positions (direct):
Nd: 0.000 0.000 0.000
Tm: 0.000 0.500 0.500
Tm: 0.500 0.000 0.500
Tl: 0.000 0.000 0.500
Tl: 0.000 0.500 0.000
Tl: 0.500 0.000 0.000
Tl: 0.500 0.500 0.500

Results
* total moment: 0.00 Bohr magnetons per cell
* offset from the most stable computed form: 0.00 eV per formula unit
* electronic total energy: -3.510 eV per atom
* E_form: -0.1991 eV/atom

=====

This record from Alexandria via LeMat-Bulk describes a relaxed structure of InAuSeN2. The functional is GGA-PBE.

Cell: 4.105 4.105 5.786 Å, 90.00 90.00 90.00°
Positions (direct):
In: 0.000 0.000 0.000
Au: 0.500 0.500 0.500
Se: 0.500 0.500 0.000
N: 0.000 0.500 0.500
N: 0.500 0.000 0.500

Results
* formation energy from raw total energies: 1430 meV/atom
* total moment: 3.16 Bohr magnetons per cell
* offset from the most stable computed form: 0.00 eV per formula unit
* electronic total energy: -3.800 eV per atom

=====

This record from Alexandria via LeMat-Bulk describes a relaxed structure of BePO3. The functional is GGA-PBE.

Cell: 3.447 3.447 3.447 Å, 90.00 90.00 90.00°
Positions (direct):
Be: 0.000 0.000 0.000
P: 0.500 0.500 0.500
O: 0.000 0.500 0.500
O: 0.500 0.000 0.500
O: 0.500 0.500 0.000

Results
* formation energy from raw total energies: -720 meV/atom
* total moment: 0.00 Bohr magnetons per cell
* electronic total energy: -5.522 eV per atom

=====

This record from Alexandria via LeMat-Bulk describes a relaxed structure of MgSc2Br. The functional is GGA-PBE.

Cell: 6.334 6.334 6.334 Å, 149.68 131.51 58.27°
Positions (direct):
Mg: 0.000 0.000 0.000
Sc: 0.297 0.797 0.500
Sc: 0.540 0.540 0.000
Br: 0.743 0.243 0.500

Results
* formation energy from raw total energies: -273 meV/atom
* total moment: 0.00 Bohr magnetons per cell
* offset from the most stable computed form: 0.53 eV per formula unit
* electronic total energy: -4.256 eV per atom

=====

- Which value of total moment does entry 4 give?
  0.00 Bohr magnetons per cell

=====

Please write out number 3 again, unchanged.
This record from Alexandria via LeMat-Bulk describes a relaxed structure of BePO3. The functional is GGA-PBE.

Cell: 3.447 3.447 3.447 Å, 90.00 90.00 90.00°
Positions (direct):
Be: 0.000 0.000 0.000
P: 0.500 0.500 0.500
O: 0.000 0.500 0.500
O: 0.500 0.000 0.500
O: 0.500 0.500 0.000

Results
* formation energy from raw total energies: -720 meV/atom
* total moment: 0.00 Bohr magnetons per cell
* electronic total energy: -5.522 eV per atom

=====

Please write out number 1 again, unchanged.
This record from Alexandria via LeMat-Bulk describes a relaxed structure of NdTm2Tl4. The functional is GGA-PBE.

Cell: 6.510 6.510 6.510 Å, 107.93 107.93 112.60°
Positions (direct):
Nd: 0.000 0.000 0.000
Tm: 0.000 0.500 0.500
Tm: 0.500 0.000 0.500
Tl: 0.000 0.000 0.500
Tl: 0.000 0.500 0.000
Tl: 0.500 0.000 0.000
Tl: 0.500 0.500 0.500

Results
* total moment: 0.00 Bohr magnetons per cell
* offset from the most stable computed form: 0.00 eV per formula unit
* electronic total energy: -3.510 eV per atom
* E_form: -0.1991 eV/atom